The following is a PBE+U calculation of crystalline MnCNF2 at its relaxed geometry, from Alexandria.

- Distance to the lowest polymorph of the same formula: 1418 meV/atom

Lattice parameters (Å, degrees): 3.7857 4.1417 3.7857 90.00 90.00 90.00
Last column: nearest neighbours and their distance in Å.
Fractional coordinates of all 5 atoms:
C 0.0000 0.5000 0.0000  2 Mn 2.07
F 0.5000 0.0000 0.0000  2 Mn 1.89
F 0.0000 0.0000 0.5000  2 Mn 1.89
Mn 0.0000 0.0000 0.0000  4 F 1.89, 2 C 2.07
N 0.5000 0.5000 0.5000  4 C 2.68, 8 F 2.81